[1]
Here is an optimized crystal structure of Tb2TmIn3AgPd2 from OQMD. Energies are from GGA-PBE.

```
data_Tb2TmIn3AgPd2
_chemical_formula_sum 'Tb4 Tm2 In6 Ag2 Pd4'
_cell_length_a 3.7841
_cell_length_b 13.5278
_cell_length_c 7.8383
_cell_angle_alpha 90.00
_cell_angle_beta 90.00
_cell_angle_gamma 90.00
_space_group_name_H-M_alt 'A m m 2'
_space_group_IT_number 38
loop_
_space_group_symop_operation_xyz
'x,y,z'
'-x,-y,z'
'-x,y,z'
'x,-y,z'
'x,y+1/2,z+1/2'
'-x,-y+1/2,z+1/2'
'-x,y+1/2,z+1/2'
'x,-y+1/2,z+1/2'
loop_
_atom_site_label
_atom_site_type_symbol
_atom_site_fract_x
_atom_site_fract_y
_atom_site_fract_z
Tb1 Tb 0.0000 0.2047 0.0000
Tm1 Tm 0.0000 0.0000 0.6144
In1 In 0.5000 0.0000 0.9351
In2 In 0.5000 0.1335 0.3397
Ag1 Ag 0.0000 0.0000 0.2060
Pd1 Pd 0.5000 0.1649 0.7040
```

Computed properties:
Total magnetic moment (μB per formula unit): 0.03
E (eV/atom): -4.59
Calculated volume (Å³ per cell): 401.3



[2]
Here is an optimized crystal structure of LuPtNO from OQMD. Energies are from GGA-PBE.

```
data_LuPtNO
_chemical_formula_sum 'Lu2 Pt2 N2 O2'
_cell_length_a 4.1910
_cell_length_b 6.8728
_cell_length_c 4.2060
_cell_angle_alpha 90.00
_cell_angle_beta 90.00
_cell_angle_gamma 90.00
_space_group_name_H-M_alt 'P m c 21'
_space_group_IT_number 26
loop_
_space_group_symop_operation_xyz
'x,y,z'
'-x,-y,z+1/2'
'-x,y,z'
'x,-y,z+1/2'
loop_
_atom_site_label
_atom_site_type_symbol
_atom_site_fract_x
_atom_site_fract_y
_atom_site_fract_z
Lu1 Lu 0.0000 0.1904 0.0000
Pt1 Pt 0.5000 0.3856 0.4948
N1 N 0.5000 0.3138 0.9953
O1 O 0.0000 0.1209 0.5000
```

Computed properties:
Total magnetic moment (μB per formula unit): 0.00
Calculated volume (Å³ per cell): 121.1
Relative energy among the computed polymorphs (eV per atom): 0.134



[3]
Here is an optimized crystal structure of Ba2ScTc from OQMD. Energies are from GGA-PBE.

```
data_Ba2ScTc
_chemical_formula_sum 'Ba8 Sc4 Tc4'
_cell_length_a 7.7044
_cell_length_b 7.7044
_cell_length_c 7.7044
_cell_angle_alpha 90.00
_cell_angle_beta 90.00
_cell_angle_gamma 90.00
_space_group_name_H-M_alt 'F -4 3 m'
_space_group_IT_number 216
_space_group_name_Hall 'F -4 2 3'
loop_
_atom_site_label
_atom_site_type_symbol
_atom_site_fract_x
_atom_site_fract_y
_atom_site_fract_z
Ba1 Ba 0.0000 0.0000 0.0000
Ba2 Ba 0.2500 0.2500 0.2500
Sc1 Sc 0.2500 0.2500 0.7500
Tc1 Tc 0.0000 0.0000 0.5000
```

Computed properties:
Total magnetic moment (μB per formula unit): 0.00
E (eV/atom): -4.34
Calculated volume (Å³ per cell): 457.3



[4]
Here is an optimized crystal structure of ZnFeNiSb from OQMD. Energies are from GGA-PBE.

```
data_ZnFeNiSb
_chemical_formula_sum 'Zn4 Fe4 Ni4 Sb4'
_cell_length_a 6.1263
_cell_length_b 6.1263
_cell_length_c 6.1263
_cell_angle_alpha 90.00
_cell_angle_beta 90.00
_cell_angle_gamma 90.00
_space_group_name_H-M_alt 'F -4 3 m'
_space_group_IT_number 216
_space_group_name_Hall 'F -4 2 3'
loop_
_atom_site_label
_atom_site_type_symbol
_atom_site_fract_x
_atom_site_fract_y
_atom_site_fract_z
Zn1 Zn 0.0000 0.0000 0.0000
Fe1 Fe 0.2500 0.2500 0.2500
Ni1 Ni 0.0000 0.0000 0.5000
Sb1 Sb 0.2500 0.2500 0.7500
```

Computed properties:
Total magnetic moment (μB per formula unit): 2.52
Calculated volume (Å³ per cell): 229.9
Relative energy among the computed polymorphs (eV per atom): 0.273



[5]
Here is an optimized crystal structure of TmPPbO from OQMD. Energies are from GGA-PBE.

```
data_TmPPbO
_chemical_formula_sum 'Tm2 P2 Pb2 O2'
_cell_length_a 4.6023
_cell_length_b 4.6023
_cell_length_c 8.4251
_cell_angle_alpha 90.00
_cell_angle_beta 90.00
_cell_angle_gamma 90.00
_space_group_name_H-M_alt 'P 4/n m m'
_space_group_IT_number 129
loop_
_space_group_symop_operation_xyz
'x,y,z'
'-x,-y,-z'
'-y+1/2,x,z'
'y+1/2,-x,-z'
'-x+1/2,-y+1/2,z'
'x+1/2,y+1/2,-z'
'y,-x+1/2,z'
'-y,x+1/2,-z'
'x+1/2,-y,-z'
'-x+1/2,y,z'
'-y,-x,-z'
'y,x,z'
'-x,y+1/2,-z'
'x,-y+1/2,z'
'y+1/2,x+1/2,-z'
'-y+1/2,-x+1/2,z'
loop_
_atom_site_label
_atom_site_type_symbol
_atom_site_fract_x
_atom_site_fract_y
_atom_site_fract_z
Tm1 Tm 0.2500 0.7500 0.0000
P1 P 0.2500 0.2500 0.1616
Pb1 Pb 0.2500 0.2500 0.6055
O1 O 0.2500 0.7500 0.5000
```

Computed properties:
Total magnetic moment (μB per formula unit): 0.00
Calculated volume (Å³ per cell): 178.5
Relative energy among the computed polymorphs (eV per atom): 0.610



[6]
Here is an optimized crystal structure of Sm2Te2O5 from OQMD. Energies are from GGA-PBE.

```
data_Sm2Te2O5
_chemical_formula_sum 'Sm2 Te2 O5'
_cell_length_a 4.2600
_cell_length_b 4.2600
_cell_length_c 7.2095
_cell_angle_alpha 90.00
_cell_angle_beta 90.00
_cell_angle_gamma 90.00
_space_group_name_H-M_alt 'P 4/m m m'
_space_group_IT_number 123
_space_group_name_Hall '-P 4 2'
loop_
_atom_site_label
_atom_site_type_symbol
_atom_site_fract_x
_atom_site_fract_y
_atom_site_fract_z
Sm1 Sm 0.0000 0.0000 0.0000
Sm2 Sm 0.0000 0.0000 0.5000
Te1 Te 0.5000 0.5000 0.2037
O1 O 0.0000 0.5000 0.2725
O2 O 0.5000 0.5000 0.5000
```

Computed properties:
Total magnetic moment (μB per formula unit): 0.00
Calculated volume (Å³ per cell): 130.8
Relative energy among the computed polymorphs (eV per atom): 0.585



[7]
Here is an optimized crystal structure of CsYPtS3 from OQMD. Energies are from GGA-PBE.

```
data_CsYPtS3
_chemical_formula_sum 'Cs4 Y4 Pt4 S12'
_cell_length_a 3.9521
_cell_length_b 16.1579
_cell_length_c 10.2097
_cell_angle_alpha 90.00
_cell_angle_beta 90.00
_cell_angle_gamma 90.00
_space_group_name_H-M_alt 'C m c m'
_space_group_IT_number 63
_space_group_name_Hall '-C 2c 2'
loop_
_atom_site_label
_atom_site_type_symbol
_atom_site_fract_x
_atom_site_fract_y
_atom_site_fract_z
Cs1 Cs 0.0000 0.2492 0.2500
Y1 Y 0.0000 0.5000 0.0000
Pt1 Pt 0.0000 0.0125 0.7500
S1 S 0.0000 0.1102 0.5720
S2 S 0.0000 0.4274 0.7500
```

Computed properties:
Total magnetic moment (μB per formula unit): 0.02
E (eV/atom): -5.47
Calculated volume (Å³ per cell): 652.0



[8]
Here is an optimized crystal structure of LaAgGe2Pd from OQMD. Energies are from GGA-PBE.

```
data_LaAgGe2Pd
_chemical_formula_sum 'La2 Ag2 Ge4 Pd2'
_cell_length_a 4.3887
_cell_length_b 4.3887
_cell_length_c 10.6421
_cell_angle_alpha 90.00
_cell_angle_beta 90.00
_cell_angle_gamma 90.00
_space_group_name_H-M_alt 'I -4 m 2'
_space_group_IT_number 119
_space_group_name_Hall 'I -4 -2'
loop_
_atom_site_label
_atom_site_type_symbol
_atom_site_fract_x
_atom_site_fract_y
_atom_site_fract_z
La1 La 0.0000 0.0000 0.0000
Ag1 Ag 0.0000 0.5000 0.7500
Ge1 Ge 0.0000 0.0000 0.3832
Pd1 Pd 0.0000 0.5000 0.2500
```

Computed properties:
Total magnetic moment (μB per formula unit): 0.00
E (eV/atom): -5.09
Calculated volume (Å³ per cell): 205.0



[9]
Here is an optimized crystal structure of PuInSn from OQMD. Energies are from GGA-PBE.

```
data_PuInSn
_chemical_formula_sum 'Pu4 In4 Sn4'
_cell_length_a 7.1328
_cell_length_b 7.1328
_cell_length_c 7.1328
_cell_angle_alpha 90.00
_cell_angle_beta 90.00
_cell_angle_gamma 90.00
_space_group_name_H-M_alt 'F -4 3 m'
_space_group_IT_number 216
_space_group_name_Hall 'F -4 2 3'
loop_
_atom_site_label
_atom_site_type_symbol
_atom_site_fract_x
_atom_site_fract_y
_atom_site_fract_z
Pu1 Pu 0.0000 0.0000 0.0000
In1 In 0.2500 0.2500 0.2500
Sn1 Sn 0.0000 0.0000 0.5000
```

Computed properties:
Total magnetic moment (μB per formula unit): 6.07
E (eV/atom): -6.98
Calculated volume (Å³ per cell): 362.9



[10]
Here is an optimized crystal structure of Co2GeMo from OQMD. Energies are from GGA-PBE.

```
data_Co2GeMo
_chemical_formula_sum 'Co8 Ge4 Mo4'
_cell_length_a 5.8706
_cell_length_b 5.8706
_cell_length_c 5.8706
_cell_angle_alpha 90.00
_cell_angle_beta 90.00
_cell_angle_gamma 90.00
_space_group_name_H-M_alt 'F -4 3 m'
_space_group_IT_number 216
_space_group_name_Hall 'F -4 2 3'
loop_
_atom_site_label
_atom_site_type_symbol
_atom_site_fract_x
_atom_site_fract_y
_atom_site_fract_z
Co1 Co 0.0000 0.0000 0.0000
Co2 Co 0.2500 0.2500 0.2500
Ge1 Ge 0.0000 0.0000 0.5000
Mo1 Mo 0.2500 0.2500 0.7500
```

Computed properties:
Total magnetic moment (μB per formula unit): 0.15
E (eV/atom): -7.37
Calculated volume (Å³ per cell): 202.3



[11]
Here is an optimized crystal structure of SrAg2SnO4 from OQMD. Energies are from GGA-PBE.

```
data_SrAg2SnO4
_chemical_formula_sum 'Sr2 Ag4 Sn2 O8'
_cell_length_a 6.1034
_cell_length_b 6.2430
_cell_length_c 6.7160
_cell_angle_alpha 90.00
_cell_angle_beta 90.00
_cell_angle_gamma 90.00
_space_group_name_H-M_alt 'I 2 2 2'
_space_group_IT_number 23
loop_
_space_group_symop_operation_xyz
'x,y,z'
'-x,-y,z'
'x,-y,-z'
'-x,y,-z'
'x+1/2,y+1/2,z+1/2'
'-x+1/2,-y+1/2,z+1/2'
'x+1/2,-y+1/2,-z+1/2'
'-x+1/2,y+1/2,-z+1/2'
loop_
_atom_site_label
_atom_site_type_symbol
_atom_site_fract_x
_atom_site_fract_y
_atom_site_fract_z
Sr1 Sr 0.0000 0.0000 0.0000
Ag1 Ag 0.0000 0.5000 0.2158
Sn1 Sn 0.0000 0.0000 0.5000
O1 O 0.1831 0.1737 0.3129
```

Computed properties:
E (eV/atom): -5.14
Calculated volume (Å³ per cell): 255.9



[12]
Here is an optimized crystal structure of SmHfAsO from OQMD. Energies are from GGA-PBE.

```
data_SmHfAsO
_chemical_formula_sum 'Sm2 Hf2 As2 O2'
_cell_length_a 4.1926
_cell_length_b 4.1926
_cell_length_c 8.8899
_cell_angle_alpha 90.00
_cell_angle_beta 90.00
_cell_angle_gamma 90.00
_space_group_name_H-M_alt 'P 4/n m m'
_space_group_IT_number 129
loop_
_space_group_symop_operation_xyz
'x,y,z'
'-x,-y,-z'
'-y+1/2,x,z'
'y+1/2,-x,-z'
'-x+1/2,-y+1/2,z'
'x+1/2,y+1/2,-z'
'y,-x+1/2,z'
'-y,x+1/2,-z'
'x+1/2,-y,-z'
'-x+1/2,y,z'
'-y,-x,-z'
'y,x,z'
'-x,y+1/2,-z'
'x,-y+1/2,z'
'y+1/2,x+1/2,-z'
'-y+1/2,-x+1/2,z'
loop_
_atom_site_label
_atom_site_type_symbol
_atom_site_fract_x
_atom_site_fract_y
_atom_site_fract_z
Sm1 Sm 0.2500 0.2500 0.1193
Hf1 Hf 0.2500 0.7500 0.5000
As1 As 0.2500 0.2500 0.6917
O1 O 0.2500 0.7500 0.0000
```

Computed properties:
Total magnetic moment (μB per formula unit): 0.01
Calculated volume (Å³ per cell): 156.3
Relative energy among the computed polymorphs (eV per atom): 0.000